[1]
# Ti2OsRu

Ti2OsRu at its PBEsol-relaxed geometry (SCAN, Alexandria via LeMat-Bulk).

a = 4.3162 Å, b = 4.3162 Å, c = 4.3162 Å
α = 60.00°, β = 60.00°, γ = 60.00°
Atoms (fractional coordinates):
Ti1 0.2500 0.2500 0.2500
Ti2 0.7500 0.7500 0.7500
Os1 0.0000 0.0000 0.0000
Ru1 0.5000 0.5000 0.5000

Output
The value obtained for the formation energy is -3.717 eV/f.u. Its density is 11.30 Mg/m³. Its space group is Fm-3m.

[2]
# Rb3SiBr

Rb3SiBr at its PBEsol-relaxed geometry (SCAN, Alexandria via LeMat-Bulk).

a = 6.3408 Å, b = 6.3408 Å, c = 6.3408 Å
α = 90.00°, β = 90.00°, γ = 90.00°
Atoms (fractional coordinates):
Rb1 0.0000 0.0000 0.5000
Rb2 0.0000 0.5000 0.0000
Rb3 0.5000 0.0000 0.0000
Si1 0.5000 0.5000 0.5000
Br1 0.0000 0.0000 0.0000

Output
Its density is 2.37 Mg/m³. Its space group is Pm-3m. Its distance to the lowest polymorph of the same formula is 0 meV per atom. As for the formation energy from raw total energies: -0.3409 eV/atom.

[3]
# Li5BiO4

Li5BiO4 at its PBEsol-relaxed geometry (SCAN, Alexandria via LeMat-Bulk).

a = 13.3703 Å, b = 13.3703 Å, c = 4.8130 Å
α = 90.00°, β = 90.00°, γ = 90.00°
Atoms (fractional coordinates):
Li1 0.0118 0.5118 0.2500
Li2 0.0118 0.9882 0.2500
Li3 0.1039 0.1403 0.1587
Li4 0.1039 0.3597 0.1587
Li5 0.1196 0.6196 0.7500
Li6 0.1196 0.8804 0.7500
Li7 0.1403 0.1039 0.6587
Li8 0.1403 0.3961 0.6587
Li9 0.2500 0.2500 0.1189
Li10 0.2500 0.2500 0.6189
Li11 0.2500 0.7500 0.2500
Li12 0.2500 0.7500 0.7500
Li13 0.3597 0.1039 0.6587
Li14 0.3597 0.3961 0.6587
Li15 0.3804 0.6196 0.7500
Li16 0.3804 0.8804 0.7500
Li17 0.3961 0.1403 0.1587
Li18 0.3961 0.3597 0.1587
Li19 0.4882 0.5118 0.2500
Li20 0.4882 0.9882 0.2500
Li21 0.5118 0.0118 0.7500
Li22 0.5118 0.4882 0.7500
Li23 0.6039 0.6403 0.8413
Li24 0.6039 0.8597 0.8413
Li25 0.6196 0.1196 0.2500
Li26 0.6196 0.3804 0.2500
Li27 0.6403 0.6039 0.3413
Li28 0.6403 0.8961 0.3413
Li29 0.7500 0.2500 0.2500
Li30 0.7500 0.2500 0.7500
Li31 0.7500 0.7500 0.3811
Li32 0.7500 0.7500 0.8811
Li33 0.8597 0.6039 0.3413
Li34 0.8597 0.8961 0.3413
Li35 0.8804 0.1196 0.2500
Li36 0.8804 0.3804 0.2500
Li37 0.8961 0.6403 0.8413
Li38 0.8961 0.8597 0.8413
Li39 0.9882 0.0118 0.7500
Li40 0.9882 0.4882 0.7500
Bi1 0.0261 0.7500 0.3209
Bi2 0.2500 0.5261 0.1791
Bi3 0.2500 0.9739 0.1791
Bi4 0.4739 0.7500 0.3209
Bi5 0.5261 0.2500 0.6791
Bi6 0.7500 0.0261 0.8209
Bi7 0.7500 0.4739 0.8209
Bi8 0.9739 0.2500 0.6791
O1 0.0152 0.1097 0.4579
O2 0.0152 0.3903 0.4579
O3 0.1097 0.0152 0.9579
O4 0.1097 0.4848 0.9579
O5 0.1291 0.2500 0.8805
O6 0.1307 0.7500 0.9587
O7 0.2500 0.1291 0.3805
O8 0.2500 0.3709 0.3805
O9 0.2500 0.6307 0.5413
O10 0.2500 0.8693 0.5413
O11 0.3693 0.7500 0.9587
O12 0.3709 0.2500 0.8805
O13 0.3903 0.0152 0.9579
O14 0.3903 0.4848 0.9579
O15 0.4848 0.1097 0.4579
O16 0.4848 0.3903 0.4579
O17 0.5152 0.6097 0.5421
O18 0.5152 0.8903 0.5421
O19 0.6097 0.5152 0.0421
O20 0.6097 0.9848 0.0421
O21 0.6291 0.7500 0.1195
O22 0.6307 0.2500 0.0413
O23 0.7500 0.1307 0.4587
O24 0.7500 0.3693 0.4587
O25 0.7500 0.6291 0.6195
O26 0.7500 0.8709 0.6195
O27 0.8693 0.2500 0.0413
O28 0.8709 0.7500 0.1195
O29 0.8903 0.5152 0.0421
O30 0.8903 0.9848 0.0421
O31 0.9848 0.6097 0.5421
O32 0.9848 0.8903 0.5421

Output
Its density is 4.75 Mg/m³. Its space group is P4_2/nmc. Its distance to the lowest polymorph of the same formula is 0 meV per atom. As for the formation energy from raw total energies: -1.7792 eV/atom.

[4]
# ZrAlZn3

ZrAlZn3 at its PBEsol-relaxed geometry (SCAN, Alexandria via LeMat-Bulk).

a = 5.0884 Å, b = 5.0884 Å, c = 5.0884 Å
α = 90.00°, β = 90.00°, γ = 90.00°
Atoms (fractional coordinates):
Zr1 0.0000 0.0000 0.0000
Al1 0.5000 0.5000 0.5000
Zn1 0.0000 0.0000 0.5000
Zn2 0.0000 0.5000 0.0000
Zn3 0.5000 0.0000 0.0000

Output
The value obtained for the formation energy is 5.927 eV/f.u. Its density is 3.96 Mg/m³. Its space group is Pm-3m. Its distance to the lowest polymorph of the same formula is 743 meV per atom.